[1]
First-principles (PBE) data for an optimized crystal structure of BeCu2Te, as listed in Alexandria via LeMat-Bulk.

Values from the calculation:
The value obtained for the uncorrected formation energy is 0.375 eV/atom. The offset from the most stable computed form is 196 meV/atom.

POSCAR file:
```
BeCu2Te
1.0
-2.5911 -3.0655 -0.4766
3.5779 -1.8732 -0.1656
-0.0921 -0.5109 3.7872
Be Te Cu
1 1 2
direct
0.0000 0.5000 0.5000
0.5000 0.0000 0.5000
0.0000 0.0000 0.0000
0.5000 0.5000 0.0000
```

***

[2]
First-principles (PBE) data for an optimized crystal structure of BeCuTe2, as listed in Alexandria via LeMat-Bulk.

Values from the calculation:
The value obtained for the uncorrected formation energy is 0.015 eV/atom.

POSCAR file:
```
BeCuTe2
1.0
-2.7468 -0.2567 3.8284
-0.1574 -4.2242 -0.3961
3.3238 -1.2984 2.2977
Be Te Cu
1 2 1
direct
0.0000 0.5276 0.5266
0.0000 0.9091 0.9096
0.5000 0.3371 0.3373
0.5000 0.7262 0.7264
```

***

[3]
First-principles (PBE) data for an optimized crystal structure of BeCuTe2, as listed in Alexandria via LeMat-Bulk.

Values from the calculation:
The value obtained for the uncorrected formation energy is 0.054 eV/atom.

POSCAR file:
```
BeCuTe2
1.0
-2.4410 -2.8020 -0.9954
3.7381 -0.7507 -0.5128
0.4108 -2.9616 7.3296
Be Te Cu
1 2 1
direct
0.0000 0.0000 0.5544
0.0000 0.0000 0.8781
0.5000 0.5000 0.3748
0.5000 0.5000 0.6926
```

***

Number 1: D(E_F) 1.0 states/eV/cell. Number 2: D(E_F) 1.5 states/eV/cell. Number 3: D(E_F) 1.8 states/eV/cell.